# PBE LiCu2Si, optimized geometry
# - total magnetization (μB/f.u.) = 0.0
# - theoretical density (Mg/m³) = 5.28
# - ΔE_f (raw) (eV/atom) = -0.09
data_LiCu2Si
_cell_length_a 2.6807
_cell_length_b 4.0741
_cell_length_c 4.8479
_cell_angle_alpha 90.00
_cell_angle_beta 105.54
_cell_angle_gamma 90.00
_space_group_name_H-M_alt 'P 1 m 1'
_space_group_IT_number 6
loop_
_space_group_symop_operation_xyz
'x,y,z'
'x,-y,z'
loop_
_atom_site_label
_atom_site_fract_x
_atom_site_fract_y
_atom_site_fract_z
Li1 0.0000 0.0000 0.0000
Cu1 0.3458 0.5000 0.7010
Cu2 0.7358 0.0000 0.4813
Si1 0.6106 0.5000 0.2313